1.
RbLiZn2Sb | PBE-GGA | relaxed

a = 6.2048 Å, b = 6.7878 Å, c = 6.2048 Å
α = 90.00°, β = 90.00°, γ = 90.00°
Closest atoms and distances in Å follow each position.
Fractional coordinates of all 5 atoms:
Sb 0.0000 0.5000 0.0000  2 Rb 3.39
Zn 0.0000 0.0000 0.5000  2 Rb 3.10
Zn 0.5000 0.0000 0.0000  2 Rb 3.10
Rb 0.0000 0.0000 0.0000  4 Zn 3.10, 2 Sb 3.39
Li 0.5000 0.5000 0.5000  4 Sb 4.39, 8 Zn 4.60

raw total energy: -1.096 eV/atom
formation energy from raw total energies: 4.07 eV/f.u.

=====

2.
Rb2LiSc | PBE-GGA | relaxed

a = 10.4722 Å, b = 10.4722 Å, c = 8.2308 Å
α = 50.49°, β = 50.49°, γ = 90.00°
Closest atoms and distances in Å follow each position.
Fractional coordinates of all 8 atoms:
Sc 0.0000 0.0000 0.0000  2 Li 3.59
Sc 0.7500 0.2500 0.5000  2 Li 3.59
Rb 0.5853 0.1250 0.2500  2 Li 3.54, 2 Rb 3.69
Rb 0.1647 0.6250 0.2500  2 Li 3.54, 2 Rb 3.69
Rb 0.3750 0.4147 0.7500  2 Li 3.54, 2 Rb 3.69
Rb 0.8750 0.8353 0.7500  2 Li 3.54, 2 Rb 3.69
Li 0.5000 0.5000 0.0000  4 Rb 3.54, 2 Sc 3.59
Li 0.2500 0.7500 0.5000  4 Rb 3.54, 2 Sc 3.59

raw total energy: -1.783 eV/atom

=====

3.
RbLiScTe2 | PBE-GGA | relaxed

a = 6.2295 Å, b = 4.6324 Å, c = 6.2295 Å
α = 90.00°, β = 90.00°, γ = 90.00°
Closest atoms and distances in Å follow each position.
Fractional coordinates of all 5 atoms:
Sc 0.5000 0.5000 0.5000  8 Te 3.88
Te 0.0000 0.0000 0.5000  2 Rb 3.11
Te 0.5000 0.0000 0.0000  2 Rb 3.11
Rb 0.0000 0.0000 0.0000  2 Li 2.32
Li 0.0000 0.5000 0.0000  2 Rb 2.32

raw total energy: -2.701 eV/atom
formation energy from raw total energies: 1.99 eV/f.u.

=====

4.
RbLiSc2Te4 | PBE-GGA | relaxed

a = 4.3420 Å, b = 7.6540 Å, c = 15.2873 Å
α = 90.00°, β = 90.00°, γ = 106.48°
Closest atoms and distances in Å follow each position.
Fractional coordinates of all 16 atoms:
Rb 0.1153 0.2305 0.7500  6 Te 3.49-3.63, 2 Li 3.81
Rb 0.8847 0.7695 0.2500  6 Te 3.49-3.63, 2 Li 3.81
Li 0.8284 0.6568 0.7500  4 Te 2.63-2.65
Li 0.1716 0.3432 0.2500  4 Te 2.63-2.65
Sc 0.3687 0.7373 0.5646  6 Te 2.95-3.07
Sc 0.6313 0.2627 0.0646  6 Te 2.95-3.07
Sc 0.6313 0.2627 0.4354  6 Te 2.95-3.07
Sc 0.3687 0.7373 0.9354  6 Te 2.95-3.07
Te 0.2625 0.5251 0.0999  1 Li 2.65, 3 Sc 2.95-2.96
Te 0.7375 0.4749 0.5999  1 Li 2.65, 3 Sc 2.95-2.96
Te 0.7375 0.4749 0.9001  1 Li 2.65, 3 Sc 2.95-2.96
Te 0.2625 0.5251 0.4001  1 Li 2.65, 3 Sc 2.95-2.96
Te 0.0000 0.0000 0.5000  4 Sc 3.07
Te 0.0000 0.0000 0.0000  4 Sc 3.07
Te 0.4291 0.8582 0.7500  2 Li 2.63
Te 0.5709 0.1418 0.2500  2 Li 2.63

raw total energy: -4.663 eV/atom
formation energy from raw total energies: -9.19 eV/f.u.

=====

5.
RbLi2ScW | PBE-GGA | relaxed

a = 5.2828 Å, b = 6.1217 Å, c = 5.2828 Å
α = 90.00°, β = 90.00°, γ = 90.00°
Closest atoms and distances in Å follow each position.
Fractional coordinates of all 5 atoms:
Sc 0.5000 0.5000 0.5000  4 Rb 3.74, 8 Li 4.04
Rb 0.0000 0.5000 0.0000  2 W 3.06
W 0.0000 0.0000 0.0000  4 Li 2.64
Li 0.0000 0.0000 0.5000  2 W 2.64
Li 0.5000 0.0000 0.0000  2 W 2.64

raw total energy: -3.017 eV/atom

=====

6.
RbLi2Se | PBE-GGA | relaxed

a = 7.8570 Å, b = 7.8570 Å, c = 7.9050 Å
α = 60.20°, β = 60.20°, γ = 90.00°
Closest atoms and distances in Å follow each position.
Fractional coordinates of all 8 atoms:
Se 0.5000 0.5000 0.0000  4 Li 2.42
Se 0.2500 0.7500 0.5000  4 Li 2.42
Rb 0.0000 0.0000 0.0000  12 Li 4.61-4.65, 4 Se 4.83, 4 Rb 4.83
Rb 0.7500 0.2500 0.5000  12 Li 4.61-4.65, 4 Se 4.83, 4 Rb 4.83
Li 0.3757 0.1250 0.2500  2 Se 2.42
Li 0.3743 0.6250 0.2500  2 Se 2.42
Li 0.3750 0.6243 0.7500  2 Se 2.42
Li 0.8750 0.6257 0.7500  2 Se 2.42

raw total energy: -2.735 eV/atom
formation energy from raw total energies: -2.66 eV/f.u.